Record 1
Density functional theory data (PBE) for a relaxed Ta2ZnCl2 crystal.

Structure (POSCAR):
```
Ta2ZnCl2
1.0
-1.203 -3.420 -1.446
3.660 -0.838 -1.064
2.198 -4.753 4.146
Ta Cl Zn
2 2 1
direct
0.608 0.608 0.784
0.392 0.392 0.216
0.250 0.750 0.500
0.750 0.250 0.500
0.000 0.000 0.000
```

Results
The calculation puts the polymorph energy (0 for the lowest one) at 0.000 eV/atom. For the size of the total moment, the calculation gives 0.0 μB/cell.

***

Record 2
Density functional theory data (PBE) for a relaxed Hf2NbAl6 crystal.

Structure (POSCAR):
```
Hf2NbAl6
1.0
-3.204 4.432 0.732
0.088 -0.310 5.984
3.902 2.850 3.545
Hf Al Nb
2 6 1
direct
0.150 0.344 0.344
0.850 0.656 0.656
0.670 0.644 0.164
0.322 0.802 0.802
0.330 0.356 0.836
0.678 0.198 0.198
0.670 0.164 0.644
0.330 0.836 0.356
0.000 0.000 0.000
```

Results
Its calculated formation energy is -0.16 eV per atom. For the size of the total moment, the calculation gives 0.0 μB/cell.

***

Record 3
Density functional theory data (PBE) for a relaxed Sm2AlNi4As3 crystal.

Structure (POSCAR):
```
Sm2AlNi4As3
1.0
-3.750 1.320 0.745
-0.820 -0.095 -3.959
-3.153 -9.455 0.881
Sm Al Ni As
2 1 4 3
direct
0.500 0.000 0.242
0.000 0.500 0.758
0.500 0.500 0.500
0.000 0.000 0.000
0.500 0.500 0.000
0.500 0.000 0.631
0.000 0.500 0.369
0.500 0.000 0.868
0.000 0.500 0.132
0.000 0.000 0.500
```

Results
Its calculated formation energy is -0.83 eV per atom. For the size of the total moment, the calculation gives 0.0 μB/cell.

***

Record 4
Density functional theory data (PBE) for a relaxed ZrP2PtF crystal.

Structure (POSCAR):
```
ZrP2PtF
1.0
5.017 0.000 0.000
0.000 5.034 0.000
0.000 0.000 5.017
P Pt F Zr
2 1 1 1
direct
0.500 0.000 0.000
0.000 0.000 0.500
0.000 0.500 0.000
0.500 0.500 0.500
0.000 0.000 0.000
```

Results
For the size of the total moment, the calculation gives 0.0 μB/cell. The calculation puts the raw total energy at -24.3 eV/cell.

***

Quick rundown of volume, same order as above: 93; 161; 164; 127 Å³/cell